Here is a relaxed MgMoRu2O crystal from Alexandria via LeMat-Bulk. Energies are from PBE+U.

Geometry as POSCAR:
```
MgMoRu2O
1.0
-4.463 0.066 0.756
-0.847 -0.933 -4.919
0.075 -4.450 0.831
Ru Mo Mg O
2 1 1 1
Cartesian
0.037 -2.225 0.416 Ru
-2.232 0.033 0.378 Ru
-0.423 -0.466 -2.460 Mo
0.000 0.000 0.000 Mg
-2.618 -2.658 -1.666 O
```

Energy ... -3.91 eV/atom
Magnetization ... 5.93 Bohr magnetons per cell